Entry 1:
Computed, not measured: TaV3H2 after structural relaxation at the PBE-GGA level of DFT.

Space-group type: P-3m1 (164)
VASP energy (eV/atom): -7.610

extended XYZ file:
```
12
Lattice="5.510 0.000 0.000 -2.755 4.772 0.000 0.000 0.000 4.870" Properties=species:S:1:pos:R:3 pbc="T T T"
Ta 0.000 3.181 1.077
Ta 2.755 1.591 3.793
V 0.000 1.529 3.651
V -1.431 4.007 3.651
V 1.324 0.764 1.219
V 1.431 4.007 3.651
V 4.186 0.764 1.219
V 2.755 3.243 1.219
H 0.000 0.000 2.435
H -1.378 2.386 2.435
H 2.755 0.000 2.435
H 1.378 2.386 2.435
```



Entry 2:
Computed, not measured: Ac8Ge3PtBr4 after structural relaxation at the PBE-GGA level of DFT.

Formation energy without anion corrections (eV/f.u.): -18.451
Space-group type: R-3m (166)

extended XYZ file:
```
16
Lattice="4.607 2.660 7.525 -4.607 2.660 7.525 0.000 -5.319 7.525" Properties=species:S:1:pos:R:3 pbc="T T T"
Ac 0.000 0.000 5.440
Ac -2.246 -1.297 12.909
Ac 0.000 -2.593 9.667
Ac -2.246 1.297 9.667
Ac 2.246 -1.297 12.909
Ac 0.000 2.593 12.909
Ac 2.246 1.297 9.667
Ac 0.000 0.000 17.136
Ge -4.607 0.000 11.288
Ge -2.303 1.330 3.763
Ge 2.303 1.330 3.763
Pt 0.000 0.000 11.288
Br 0.000 0.000 0.000
Br -2.303 -1.330 7.525
Br -2.303 1.330 15.051
Br 0.000 2.660 7.525
```



Entry 3:
Computed, not measured: Zr2NiHg after structural relaxation at the PBE-GGA level of DFT.

Energy relative to the elements (eV per atom): 0.419
Space-group type: I-42d (122)

extended XYZ file:
```
8
Lattice="-2.048 2.048 9.949 2.048 -2.048 9.949 2.048 2.048 -9.949" Properties=species:S:1:pos:R:3 pbc="T T T"
Zr 3.073 0.997 -2.487
Zr 0.997 1.024 2.487
Zr -1.024 1.051 7.462
Zr 1.051 1.024 12.436
Ni 0.000 0.000 0.000
Ni 0.000 2.048 4.974
Hg 2.048 0.000 4.974
Hg 0.000 0.000 9.949
```



Let's list magnetization in order: 0.00, 0.00, 0.00 μB/cell.